Material: CrNi2GeO6
Method: DFT, PBE with a Hubbard U
State: optimized geometry

Geometry as CIF:
```
data_CrNi2GeO6
_cell_length_a 5.001
_cell_length_b 5.019
_cell_length_c 5.341
_cell_angle_alpha 62.05
_cell_angle_beta 62.31
_cell_angle_gamma 60.72
_space_group_name_H-M_alt 'P 1'
_space_group_IT_number 1
_space_group_name_Hall 'P 1'
loop_
_atom_site_label
_atom_site_type_symbol
_atom_site_fract_x
_atom_site_fract_y
_atom_site_fract_z
_atom_site_occupancy
Cr1 Cr 0.000 0.000 0.000 1
Ni1 Ni 0.204 0.200 0.386 1
Ni2 Ni 0.702 0.702 0.882 1
Ge1 Ge 0.489 0.503 0.507 1
O1 O 0.126 0.777 0.705 1
O2 O 0.286 0.619 0.210 1
O3 O 0.391 0.126 0.700 1
O4 O 0.631 0.877 0.209 1
O5 O 0.778 0.387 0.697 1
O6 O 0.896 0.266 0.200 1
```

Calculated total energy (eV per cell): -60.0